Material: Sb3PtO
Method: DFT, GGA-PBE
State: relaxed

Calculated values
DOS at the Fermi energy	0.732	states/eV/atom
calculated density	6.6	g/cm3
E	-3.89	eV per atom
space group	No. 221
energy relative to the elements, uncorrected	0.79	eV per atom
distance to the lowest polymorph of the same formula	740	meV/atom
total magnetic moment	2.0	μB per formula unit

Geometry as POSCAR:
```
Sb3PtO
1.0
5.260 0.000 0.000
0.000 5.260 0.000
0.000 0.000 5.260
Sb Pt O
3 1 1
Cartesian
0.000 0.000 2.630
0.000 2.630 0.000
2.630 0.000 0.000
0.000 0.000 0.000
2.630 2.630 2.630
```